# 1
# AcBRu | Alexandria via LeMat-Bulk | PBE | relaxed
data_AcBRu
_chemical_formula_sum 'Ac1 B1 Ru1'
_symmetry_space_group_name_H-M 'P -6 m 2'
_symmetry_Int_Tables_number 187
_symmetry_space_group_name_Hall 'P -6 2'
_cell_length_a 3.7510
_cell_length_b 3.7510
_cell_length_c 4.7479
_cell_angle_alpha 90.00
_cell_angle_beta 90.00
_cell_angle_gamma 120.00
loop_
_atom_site_label
_atom_site_fract_x
_atom_site_fract_y
_atom_site_fract_z
_atom_site_occupancy
Ac1 0.0000 0.0000 0.0000 1
B1 0.3333 0.6667 0.5000 1
Ru1 0.6667 0.3333 0.5000 1
# Calculated total energy   -6.89 eV/atom
# V   57.9 Å³ per cell
# Crystal system   hexagonal
# Formation enthalpy at 0 K   -0.1993 eV per atom
# Polymorph energy (0 for the lowest one)   109.3 meV per atom

# 2
# MoRhI3 | Alexandria via LeMat-Bulk | PBE | relaxed
data_MoRhI3
_chemical_formula_sum 'Mo1 Rh1 I3'
_symmetry_space_group_name_H-M 'P m -3 m'
_symmetry_Int_Tables_number 221
_symmetry_space_group_name_Hall '-P 4 2 3'
_cell_length_a 5.4042
_cell_length_b 5.4042
_cell_length_c 5.4042
_cell_angle_alpha 90.00
_cell_angle_beta 90.00
_cell_angle_gamma 90.00
loop_
_atom_site_label
_atom_site_fract_x
_atom_site_fract_y
_atom_site_fract_z
_atom_site_occupancy
Mo1 0.0000 0.0000 0.0000 1
Rh1 0.5000 0.5000 0.5000 1
I1 0.0000 0.5000 0.5000 1
# E_form (uncorrected)   0.859 eV per atom
# Calculated total energy   -3.71 eV/atom
# V   157.8 Å³ per cell
# Crystal system   cubic
# Polymorph energy (0 for the lowest one)   0.0 meV per atom

# 3
# KYSb2I | Alexandria via LeMat-Bulk | PBE | relaxed
data_KYSb2I
_chemical_formula_sum 'K1 Y1 Sb2 I1'
_symmetry_space_group_name_H-M 'P 4/m m m'
_symmetry_Int_Tables_number 123
_symmetry_space_group_name_Hall '-P 4 2'
_cell_length_a 5.8785
_cell_length_b 5.8785
_cell_length_c 6.2450
_cell_angle_alpha 90.00
_cell_angle_beta 90.00
_cell_angle_gamma 90.00
loop_
_atom_site_label
_atom_site_fract_x
_atom_site_fract_y
_atom_site_fract_z
_atom_site_occupancy
K1 0.0000 0.0000 0.0000 1
Y1 0.5000 0.5000 0.5000 1
Sb1 0.0000 0.5000 0.5000 1
I1 0.5000 0.5000 0.0000 1
# E_form (uncorrected)   -0.454 eV per atom
# Calculated total energy   -3.93 eV/atom
# V   215.8 Å³ per cell
# Crystal system   tetragonal
# Polymorph energy (0 for the lowest one)   0.0 meV per atom

# 4
# AgSbPd3 | Alexandria via LeMat-Bulk | PBE | relaxed
data_AgSbPd3
_chemical_formula_sum 'Ag2 Sb2 Pd6'
_symmetry_space_group_name_H-M 'P 63/m m c'
_symmetry_Int_Tables_number 194
_symmetry_space_group_name_Hall '-P 6c 2c'
_cell_length_a 6.8432
_cell_length_b 6.8432
_cell_length_c 4.8173
_cell_angle_alpha 90.00
_cell_angle_beta 90.00
_cell_angle_gamma 120.00
loop_
_atom_site_label
_atom_site_fract_x
_atom_site_fract_y
_atom_site_fract_z
_atom_site_occupancy
Ag1 0.0000 0.0000 0.0000 1
Sb1 0.3333 0.6667 0.2500 1
Pd1 0.2022 0.4043 0.7500 1
# E_form (uncorrected)   0.155 eV per atom
# Calculated total energy   -4.35 eV/atom
# V   195.4 Å³ per cell
# Crystal system   hexagonal
# Polymorph energy (0 for the lowest one)   437.8 meV per atom

# 5
# Cs2OsC | Alexandria via LeMat-Bulk | PBE | relaxed
data_Cs2OsC
_chemical_formula_sum 'Cs8 Os4 C4'
_symmetry_space_group_name_H-M 'F m -3 m'
_symmetry_Int_Tables_number 225
_symmetry_space_group_name_Hall '-F 4 2 3'
_cell_length_a 7.7589
_cell_length_b 7.7589
_cell_length_c 7.7589
_cell_angle_alpha 90.00
_cell_angle_beta 90.00
_cell_angle_gamma 90.00
loop_
_atom_site_label
_atom_site_fract_x
_atom_site_fract_y
_atom_site_fract_z
_atom_site_occupancy
Cs1 0.2500 0.2500 0.2500 1
Os1 0.0000 0.0000 0.0000 1
C1 0.0000 0.0000 0.5000 1
# Calculated total energy   -2.64 eV/atom
# V   467.1 Å³ per cell
# Crystal system   cubic
# Formation enthalpy at 0 K   2.8986 eV per atom
# Polymorph energy (0 for the lowest one)   2000.0 meV per atom

# 6
# Ac6TeIr2Pt3 | Alexandria via LeMat-Bulk | PBE | relaxed
data_Ac6TeIr2Pt3
_chemical_formula_sum 'Ac12 Te2 Ir4 Pt6'
_symmetry_space_group_name_H-M 'C 1 2/m 1'
_symmetry_Int_Tables_number 12
_cell_length_a 19.1976
_cell_length_b 4.3857
_cell_length_c 9.0317
_cell_angle_alpha 90.00
_cell_angle_beta 102.11
_cell_angle_gamma 90.00
loop_
_symmetry_equiv_pos_as_xyz
'x,y,z'
'-x,-y,-z'
'-x,y,-z'
'x,-y,z'
'x+1/2,y+1/2,z'
'-x+1/2,-y+1/2,-z'
'-x+1/2,y+1/2,-z'
'x+1/2,-y+1/2,z'
loop_
_atom_site_label
_atom_site_fract_x
_atom_site_fract_y
_atom_site_fract_z
_atom_site_occupancy
Ac1 0.0085 0.0000 0.2771 1
Ac2 0.1698 0.5000 0.5806 1
Ac3 0.1784 0.5000 0.1062 1
Te1 0.0000 0.5000 0.0000 1
Ir1 0.1676 0.0000 0.3372 1
Pt1 0.0000 0.5000 0.5000 1
Pt2 0.1600 0.0000 0.8363 1
# E_form (uncorrected)   -0.998 eV per atom
# Calculated total energy   -6.30 eV/atom
# V   743.5 Å³ per cell
# Crystal system   monoclinic

# 7
# PuScAl2Ga2 | Alexandria via LeMat-Bulk | PBE | relaxed
data_PuScAl2Ga2
_chemical_formula_sum 'Pu1 Sc1 Al2 Ga2'
_symmetry_space_group_name_H-M 'P -3 m 1'
_symmetry_Int_Tables_number 164
_symmetry_space_group_name_Hall '-P 3 2"'
_cell_length_a 4.4522
_cell_length_b 4.4522
_cell_length_c 6.7783
_cell_angle_alpha 90.00
_cell_angle_beta 90.00
_cell_angle_gamma 120.00
loop_
_atom_site_label
_atom_site_fract_x
_atom_site_fract_y
_atom_site_fract_z
_atom_site_occupancy
Pu1 0.0000 0.0000 0.0000 1
Sc1 0.0000 0.0000 0.5000 1
Al1 0.3333 0.6667 0.7350 1
Ga1 0.3333 0.6667 0.2652 1
# Calculated total energy   -6.12 eV/atom
# V   116.4 Å³ per cell
# Crystal system   trigonal
# Formation enthalpy at 0 K   -0.4190 eV per atom

# 8
# TmSnRh | Alexandria via LeMat-Bulk | PBE | relaxed
data_TmSnRh
_chemical_formula_sum 'Tm2 Sn2 Rh2'
_symmetry_space_group_name_H-M 'I 4 m m'
_symmetry_Int_Tables_number 107
_symmetry_space_group_name_Hall 'I 4 -2'
_cell_length_a 3.3071
_cell_length_b 3.3071
_cell_length_c 11.2919
_cell_angle_alpha 90.00
_cell_angle_beta 90.00
_cell_angle_gamma 90.00
loop_
_atom_site_label
_atom_site_fract_x
_atom_site_fract_y
_atom_site_fract_z
_atom_site_occupancy
Tm1 0.0000 0.0000 0.0000 1
Sn1 0.0000 0.0000 0.7046 1
Rh1 0.0000 0.0000 0.3443 1
# Calculated total energy   -5.95 eV/atom
# V   123.5 Å³ per cell
# Crystal system   tetragonal
# Formation enthalpy at 0 K   -0.6780 eV per atom